Entry from the Alexandria database: Ti2BeC after structural relaxation (PBE).

Cell: 3.106 18.602 3.222 Å, 90.00 90.00 90.00°
Space group Cmcm (No. 63)
One atom of each set of equivalent atoms:
Ti 0.000 0.081 0.250 (multiplicity 4)
Ti 0.000 0.305 0.250 (multiplicity 4)
Be 0.000 0.467 0.250 (multiplicity 4)
C 0.000 0.192 0.250 (multiplicity 4)

Energy of formation = -436 meV/atom
Energy relative to the lowest polymorph listed for this composition = 0.0 meV per atom

Entry from the Alexandria database: Ti6Be2C after structural relaxation (PBE).

Cell: 5.484 5.484 9.221 Å, 90.00 90.00 90.00°
Space group P4_2/mnm (No. 136)
One atom of each set of equivalent atoms:
Ti 0.196 0.196 0.164 (multiplicity 8)
Ti 0.242 0.242 0.500 (multiplicity 4)
Be 0.000 0.000 0.365 (multiplicity 4)
C 0.000 0.000 0.000 (multiplicity 2)

Energy of formation = 101 meV/atom

Entry from the Alexandria database: Ti2BeC after structural relaxation (PBE).

Cell: 5.611 5.611 5.611 Å, 90.00 90.00 90.00°
Space group Fm-3m (No. 225)
One atom of each set of equivalent atoms:
Ti 0.250 0.250 0.250 (multiplicity 8)
Be 0.000 0.000 0.000 (multiplicity 4)
C 0.000 0.000 0.500 (multiplicity 4)

Energy of formation = 371 meV/atom
Energy relative to the lowest polymorph listed for this composition = 807.8 meV per atom

Entry from the Alexandria database: TiBe3C after structural relaxation (PBE).

Cell: 3.626 3.626 3.626 Å, 90.00 90.00 90.00°
Space group Pm-3m (No. 221)
One atom of each set of equivalent atoms:
Ti 0.000 0.000 0.000 (multiplicity 1)
Be 0.000 0.500 0.500 (multiplicity 3)
C 0.500 0.500 0.500 (multiplicity 1)

Energy of formation = 410 meV/atom
Energy relative to the lowest polymorph listed for this composition = 0.0 meV per atom

Entry from the Alexandria database: TiBe3C after structural relaxation (PBE).

Cell: 4.442 4.442 4.442 Å, 90.00 90.00 90.00°
Space group Pm-3m (No. 221)
One atom of each set of equivalent atoms:
Ti 0.000 0.000 0.000 (multiplicity 1)
Be 0.000 0.000 0.500 (multiplicity 3)
C 0.500 0.500 0.500 (multiplicity 1)

Energy of formation = 2904 meV/atom
Energy relative to the lowest polymorph listed for this composition = 2494.4 meV per atom

Entry from the Alexandria database: Ti7Be2C2 after structural relaxation (PBE).

Cell: 6.354 8.514 5.472 Å, 90.00 90.00 90.00°
Space group Cmmm (No. 65)
One atom of each set of equivalent atoms:
Ti 0.000 0.000 0.000 (multiplicity 2)
Ti 0.000 0.500 0.247 (multiplicity 4)
Ti 0.250 0.250 0.252 (multiplicity 8)
Be 0.163 0.000 0.500 (multiplicity 4)
C 0.000 0.271 0.000 (multiplicity 4)

Energy of formation = -201 meV/atom

Entry from the Alexandria database: Ti2BeC after structural relaxation (PBE).

Cell: 6.033 6.033 5.477 Å, 90.00 90.00 90.00°
Space group I-42d (No. 122)
One atom of each set of equivalent atoms:
Ti 0.207 0.250 0.125 (multiplicity 8)
Be 0.000 0.000 0.500 (multiplicity 4)
C 0.000 0.000 0.000 (multiplicity 4)

Energy of formation = 131 meV/atom
Energy relative to the lowest polymorph listed for this composition = 567.5 meV per atom

Entry from the Alexandria database: Ti2BeC after structural relaxation (PBE).

Cell: 3.0583 3.0583 17.9682 Å, 90.00 90.00 120.00°
Space group R-3m (No. 166, hexagonal axes)
One atom of each set of equivalent atoms:
Ti 0.0000 0.0000 0.2329 (multiplicity 6)
Be 0.0000 0.0000 0.0000 (multiplicity 3)
C 0.0000 0.0000 0.5000 (multiplicity 3)

Energy of formation = -376 meV/atom
Energy relative to the lowest polymorph listed for this composition = 60.9 meV per atom

> Which of these has the highest energy of formation?

number 5

> Which of these has the highest energy of formation?

number 5

Copy entry 3 word for word.
Entry from the Alexandria database: Ti2BeC after structural relaxation (PBE).

Cell: 5.611 5.611 5.611 Å, 90.00 90.00 90.00°
Space group Fm-3m (No. 225)
One atom of each set of equivalent atoms:
Ti 0.250 0.250 0.250 (multiplicity 8)
Be 0.000 0.000 0.000 (multiplicity 4)
C 0.000 0.000 0.500 (multiplicity 4)

Energy of formation = 371 meV/atom
Energy relative to the lowest polymorph listed for this composition = 807.8 meV per atom

> Which formula does entry 4 have?

TiBe3C